# CdPd8Pt3 (GGA-PBE, optimized geometry)
# Calculated volume   18.961 A^3/atom
# Final energy   -113.8 eV/cell
# Formation energy from the elements   0.3058 eV/atom
# Distance to the lowest polymorph of the same formula   398 meV per atom
data_CdPd8Pt3
_chemical_formula_sum 'Cd2 Pd16 Pt6'
_cell_length_a 6.388
_cell_length_b 6.388
_cell_length_c 11.152
_cell_angle_alpha 90.00
_cell_angle_beta 90.00
_cell_angle_gamma 90.00
_space_group_name_H-M_alt 'I 4/m m m'
_space_group_IT_number 139
_space_group_name_Hall '-I 4 2'
loop_
_atom_site_label
_atom_site_fract_x
_atom_site_fract_y
_atom_site_fract_z
Cd1 0.000 0.000 0.000
Pd1 0.243 0.243 0.372
Pt1 0.000 0.000 0.500
Pt2 0.000 0.500 0.250


# Pa8Ti3 (GGA-PBE, optimized geometry)
# Calculated volume   23.158 A^3/atom
# Final energy   -97.8 eV/cell
# Formation energy from the elements   0.1717 eV/atom
data_Pa8Ti3
_chemical_formula_sum 'Pa8 Ti3'
_cell_length_a 5.438
_cell_length_b 5.481
_cell_length_c 9.302
_cell_angle_alpha 99.44
_cell_angle_beta 92.92
_cell_angle_gamma 110.31
_space_group_name_H-M_alt 'P -1'
_space_group_IT_number 2
loop_
_space_group_symop_operation_xyz
'x,y,z'
'-x,-y,-z'
loop_
_atom_site_label
_atom_site_fract_x
_atom_site_fract_y
_atom_site_fract_z
Pa1 0.021 0.040 0.166
Pa2 0.071 0.559 0.346
Pa3 0.458 0.435 0.825
Pa4 0.460 0.852 0.639
Ti1 0.000 0.000 0.500
Ti2 0.000 0.500 0.000
Ti3 0.500 0.000 0.000


# TiAs2 (GGA-PBE, optimized geometry)
# Calculated volume   17.750 A^3/atom
# Final energy   -74.9 eV/cell
# Formation energy from the elements   -0.5143 eV/atom
data_TiAs2
_chemical_formula_sum 'Ti4 As8'
_cell_length_a 9.835
_cell_length_b 3.464
_cell_length_c 7.061
_cell_angle_alpha 90.00
_cell_angle_beta 117.69
_cell_angle_gamma 90.00
_space_group_name_H-M_alt 'C 1 m 1'
_space_group_IT_number 8
loop_
_space_group_symop_operation_xyz
'x,y,z'
'x,-y,z'
'x+1/2,y+1/2,z'
'x+1/2,-y+1/2,z'
loop_
_atom_site_label
_atom_site_fract_x
_atom_site_fract_y
_atom_site_fract_z
Ti1 0.000 0.000 0.000
Ti2 0.009 0.000 0.570
As1 0.191 0.500 0.868
As2 0.223 0.500 0.250
As3 0.342 0.000 0.678
As4 0.482 0.000 0.270


Number 3 is which compound?
TiAs2